Entry 1:
Entry from Alexandria: a relaxed structure of LiAcBi2 (PBE).

Unit cell a=4.6883 b=4.6883 c=11.1529 alpha=90.00 beta=90.00 gamma=90.00
Fractional positions:
Li 0.2500 0.7500 0.0000
Li 0.7500 0.2500 0.0000
Ac 0.2500 0.2500 0.2541
Ac 0.7500 0.7500 0.7459
Bi 0.2500 0.2500 0.8489
Bi 0.2500 0.7500 0.5000
Bi 0.7500 0.2500 0.5000
Bi 0.7500 0.7500 0.1511

Output
distance to the lowest polymorph of the same formula: 0.000 eV per atom
calculated total energy: -33.41 eV for the cell shown
E_form: -0.730 eV/atom
total moment: 0.00 Bohr magnetons per cell
density of states at the Fermi level: 0.3872 states/eV/atom

Entry 2:
Entry from Alexandria: a relaxed structure of Cd2CuBr2 (PBE).

Unit cell a=6.7339 b=6.7339 c=6.3967 alpha=90.00 beta=90.00 gamma=90.00
Fractional positions:
Cd 0.1609 0.3391 0.0000
Cd 0.3391 0.8391 0.0000
Cd 0.6609 0.1609 0.0000
Cd 0.8391 0.6609 0.0000
Cu 0.0000 0.0000 0.5000
Cu 0.5000 0.5000 0.5000
Br 0.1890 0.3110 0.5000
Br 0.3110 0.8111 0.5000
Br 0.6889 0.1890 0.5000
Br 0.8111 0.6889 0.5000

Output
distance to the lowest polymorph of the same formula: 0.000 eV per atom
calculated total energy: -19.00 eV for the cell shown
total moment: 0.00 Bohr magnetons per cell
density of states at the Fermi level: 0.5145 states/eV/atom

Which of these has the lowest calculated total energy?
LiAcBi2

The highest calculated total energy belongs to which entry?
Cd2CuBr2

What did the first record say?
Entry from Alexandria: a relaxed structure of LiAcBi2 (PBE).

Unit cell a=4.6883 b=4.6883 c=11.1529 alpha=90.00 beta=90.00 gamma=90.00
Fractional positions:
Li 0.2500 0.7500 0.0000
Li 0.7500 0.2500 0.0000
Ac 0.2500 0.2500 0.2541
Ac 0.7500 0.7500 0.7459
Bi 0.2500 0.2500 0.8489
Bi 0.2500 0.7500 0.5000
Bi 0.7500 0.2500 0.5000
Bi 0.7500 0.7500 0.1511

Output
distance to the lowest polymorph of the same formula: 0.000 eV per atom
calculated total energy: -33.41 eV for the cell shown
E_form: -0.730 eV/atom
total moment: 0.00 Bohr magnetons per cell
density of states at the Fermi level: 0.3872 states/eV/atom

What is the formula in the second record?
Cd2CuBr2